# PmEr3S6 (PBE, optimized geometry)
# - Uncorrected formation energy: -2.089 eV per atom
# - DFT total energy: -6.409 eV per atom
# - Magnetic moment: 0.00 μB/f.u.
data_PmEr3S6
_chemical_formula_sum 'Pm2 Er6 S12'
_cell_length_a 11.0085
_cell_length_b 3.9561
_cell_length_c 11.2760
_cell_angle_alpha 90.00
_cell_angle_beta 108.79
_cell_angle_gamma 90.00
_symmetry_space_group_name_H-M 'P 1 21/m 1'
_symmetry_Int_Tables_number 11
_symmetry_space_group_name_Hall '-P 2yb'
loop_
_atom_site_label
_atom_site_type_symbol
_atom_site_fract_x
_atom_site_fract_y
_atom_site_fract_z
Pm1 Pm 0.0477 0.2500 0.1940
Er1 Er 0.1609 0.2500 0.5862
Er2 Er 0.3193 0.7500 0.9981
Er3 Er 0.4390 0.2500 0.3325
S1 S 0.0821 0.7500 0.4053
S2 S 0.1167 0.2500 0.9634
S3 S 0.1957 0.7500 0.7490
S4 S 0.2625 0.7500 0.2269
S5 S 0.3956 0.2500 0.5600
S6 S 0.4776 0.2500 0.1119